Material: Ba3Ni
Method: DFT, PBEsol
State: optimized geometry

a b c (Å): 4.0425 6.7037 6.7037
angles (deg): 116.07 101.60 101.60
Positions (direct):
Ba1 0.0000 0.5000 0.0000
Ba2 0.0000 0.0000 0.5000
Ba3 0.5000 0.5000 0.5000
Ni1 0.5000 0.0000 0.0000

Theoretical density (g/cm³): 5.18
V (Å³/cell): 150.97
Energy of formation from the pure elements (meV/atom): 567.6